The following is a DFT calculation (GGA-PBE) of Y3UTl4Te8 after structural relaxation.

extended XYZ file:
```
16
Lattice="4.454 2.572 8.221 -4.454 2.572 8.221 0.000 -5.144 8.221" Properties=species:S:1:pos:R:3 pbc="T T T"
Y -2.227 -1.286 8.221
Y -2.227 1.286 16.443
Y 0.000 2.572 8.221
U 0.000 0.000 0.000
Tl -4.454 0.000 12.332
Tl -2.227 1.286 4.111
Tl 2.227 1.286 4.111
Tl 0.000 0.000 12.332
Te 0.000 -2.549 9.989
Te -2.207 1.274 9.989
Te 0.000 0.000 6.469
Te -2.207 -1.274 14.674
Te 2.207 1.274 9.989
Te 0.000 0.000 18.195
Te 2.207 -1.274 14.674
Te 0.000 2.549 14.674
```

Calculated values
Total magnetic moment   3.03 μB per cell
DOS(E_F)   4.20 states/eV/cell
Crystal system   trigonal
Formation energy (no corrections)   -21.30 kcal/mol of atoms